# PBE MgZrTlIr, relaxed
data_MgZrTlIr
_chemical_formula_sum 'Mg4 Zr4 Tl4 Ir4'
_space_group_name_H-M_alt 'F -4 3 m'
_space_group_IT_number 216
_space_group_name_Hall 'F -4 2 3'
_cell_length_a 6.754
_cell_length_b 6.754
_cell_length_c 6.754
_cell_angle_alpha 90.00
_cell_angle_beta 90.00
_cell_angle_gamma 90.00
loop_
_atom_site_label
_atom_site_type_symbol
_atom_site_fract_x
_atom_site_fract_y
_atom_site_fract_z
Mg1 Mg 0.000 0.000 0.000
Zr1 Zr 0.000 0.000 0.500
Tl1 Tl 0.250 0.250 0.250
Ir1 Ir 0.250 0.250 0.750
# Distance to the lowest polymorph of the same formula   0.0 meV per atom
# Raw total energy   -0.4101 Ry per atom
# Magnetic moment   0.01 Bohr magnetons per cell

# PBE MgZrTlIr, relaxed
data_MgZrTlIr
_chemical_formula_sum 'Mg4 Zr4 Tl4 Ir4'
_space_group_name_H-M_alt 'F -4 3 m'
_space_group_IT_number 216
_space_group_name_Hall 'F -4 2 3'
_cell_length_a 6.696
_cell_length_b 6.696
_cell_length_c 6.696
_cell_angle_alpha 90.00
_cell_angle_beta 90.00
_cell_angle_gamma 90.00
loop_
_atom_site_label
_atom_site_type_symbol
_atom_site_fract_x
_atom_site_fract_y
_atom_site_fract_z
Mg1 Mg 0.000 0.000 0.000
Zr1 Zr 0.250 0.250 0.750
Tl1 Tl 0.000 0.000 0.500
Ir1 Ir 0.250 0.250 0.250
# Distance to the lowest polymorph of the same formula   247.7 meV per atom
# Raw total energy   -0.3919 Ry per atom
# Magnetic moment   0.01 Bohr magnetons per cell

Question: Which value of raw total energy does entry 2 give?
Answer: -0.3919 Ry per atom

Question: Which of these has the highest distance to the lowest polymorph of the same formula?
Answer: number 2